Entry 1:
12
Lattice="12.040 -1.414 0.000 1.828 6.069 0.000 0.914 3.035 5.488" Properties=species:S:1:pos:R:3 comment="Pr5Sm6Dy GGA-PBE optimized geometry" crystal_system=monoclinic e_form_mev_per_atom=14 pbc="T T T"
Sm 9.501 0.444 1.823
Sm 4.367 4.211 1.823
Sm 5.281 7.246 3.665
Sm 10.416 3.489 0.000
Sm 10.415 3.479 3.665
Sm 3.452 1.166 0.000
Pr 7.848 5.362 1.829
Pr 1.828 6.069 3.659
Pr 6.934 2.328 3.660
Pr 0.914 3.035 1.830
Pr 6.934 2.328 0.000
Dy 0.000 0.000 0.000

---

Entry 2:
5
Lattice="5.243 0.000 0.000 0.000 5.243 0.000 0.000 0.000 5.191" Properties=species:S:1:pos:R:3 comment="AuSeBr2F GGA-PBE optimized geometry" formation_energy_uncorrected_ev_per_fu=1.589 crystal_system=tetragonal polymorph_energy_mev_per_atom=0.0 pbc="T T T"
Br 0.000 2.622 0.000
Br 2.622 0.000 0.000
F 2.622 2.622 2.595
Se 0.000 0.000 2.595
Au 0.000 0.000 0.000

---

| no. | total magnetization (μB/f.u.) | total energy (eV/cell) |
| --- | --- | --- |
| 1 | 0.00 | -56.650 |
| 2 | 1.26 | -10.390 |